Zn2RhBr | PBE-GGA | optimized geometry

Lattice parameters (Å, degrees): 4.552 4.552 3.233 90.00 90.00 90.00
Space group P4/mmm (No. 123)
Symmetry-distinct sites (fractional):
Zn 0.000 0.500 0.000 (multiplicity 2)
Rh 0.000 0.000 0.500 (multiplicity 1)
Br 0.500 0.500 0.500 (multiplicity 1)

* E_form (uncorrected): 0.11 eV per atom
* calculated volume: 67.0 Å³/cell
* D(E_F): 2.4 states/eV/cell


DyBeCu4 | PBE-GGA | optimized geometry

Lattice parameters (Å, degrees): 5.0653 5.0653 3.8812 90.00 90.00 120.00
Space group P-6m2 (No. 187)
Symmetry-distinct sites (fractional):
Dy 0.0000 0.0000 0.0000 (multiplicity 1)
Be 0.3333 0.6667 0.0000 (multiplicity 1)
Cu 0.0090 0.5045 0.5000 (multiplicity 3)
Cu 0.6667 0.3333 0.0000 (multiplicity 1)

* formation energy: -0.1615 eV per atom
* calculated volume: 86.2 Å³/cell
* D(E_F): 3.7 states/eV/cell


Ho3CdAu | PBE-GGA | optimized geometry

Lattice parameters (Å, degrees): 5.148 19.570 5.137 90.00 90.00 90.00
Space group Cmcm (No. 63)
Symmetry-distinct sites (fractional):
Ho 0.000 0.061 0.250 (multiplicity 4)
Ho 0.000 0.249 0.250 (multiplicity 4)
Ho 0.000 0.435 0.250 (multiplicity 4)
Cd 0.000 0.154 0.750 (multiplicity 4)
Au 0.000 0.337 0.750 (multiplicity 4)

* formation energy: -0.4308 eV per atom
* calculated volume: 517.5 Å³/cell
* D(E_F): 21.4 states/eV/cell


Eu2HS | PBE-GGA | optimized geometry

Lattice parameters (Å, degrees): 3.9954 3.9954 19.2120 90.00 90.00 120.00
Space group R-3m (No. 166, hexagonal axes)
Symmetry-distinct sites (fractional):
Eu 0.0000 0.0000 0.2447 (multiplicity 6)
H 0.0000 0.0000 0.5000 (multiplicity 3)
S 0.0000 0.0000 0.0000 (multiplicity 3)

* calculated volume: 265.6 Å³/cell
* D(E_F): 4.1 states/eV/cell
* DFT total energy: -8.21 eV per atom


HfZrAs | PBE-GGA | optimized geometry

Lattice parameters (Å, degrees): 5.001 9.610 4.992 90.00 90.00 90.00
Space group Cmcm (No. 63)
Symmetry-distinct sites (fractional):
Hf 0.000 0.096 0.250 (multiplicity 4)
Zr 0.000 0.405 0.250 (multiplicity 4)
As 0.000 0.252 0.750 (multiplicity 4)

* formation energy: -0.5963 eV per atom
* calculated volume: 239.9 Å³/cell
* D(E_F): 9.7 states/eV/cell


ScIr4Au | PBE-GGA | optimized geometry

Lattice parameters (Å, degrees): 7.386 7.386 7.386 90.00 90.00 90.00
Space group F-43m (No. 216)
Symmetry-distinct sites (fractional):
Sc 0.000 0.000 0.000 (multiplicity 4)
Ir 0.125 0.125 0.375 (multiplicity 16)
Au 0.250 0.250 0.750 (multiplicity 4)

* formation energy: -0.1720 eV per atom
* calculated volume: 403.0 Å³/cell
* D(E_F): 27.0 states/eV/cell


SiSbPb | PBE-GGA | optimized geometry

Lattice parameters (Å, degrees): 4.0029 4.0029 5.8483 90.00 90.00 120.00
Space group P3m1 (No. 156)
Symmetry-distinct sites (fractional):
Si 0.0000 0.0000 0.0000 (multiplicity 1)
Sb 0.6667 0.3333 0.7620 (multiplicity 1)
Pb 0.3333 0.6667 0.3376 (multiplicity 1)

* E_form (uncorrected): 0.23 eV per atom
* calculated volume: 81.2 Å³/cell
* D(E_F): 1.7 states/eV/cell


La3CeEr2Se6 | PBE-GGA | optimized geometry

Lattice parameters (Å, degrees): 7.242 12.573 7.336 90.00 109.36 90.00
Space group C2/m (No. 12)
Symmetry-distinct sites (fractional):
La 0.000 0.000 0.000 (multiplicity 2)
La 0.000 0.337 0.000 (multiplicity 4)
Ce 0.000 0.500 0.500 (multiplicity 2)
Er 0.000 0.167 0.500 (multiplicity 4)
Se 0.234 0.000 0.730 (multiplicity 4)
Se 0.249 0.329 0.733 (multiplicity 8)

* E_form (uncorrected): -1.87 eV per atom
* calculated volume: 630.2 Å³/cell
* D(E_F): 22.3 states/eV/cell


ThCuGe | PBE-GGA | optimized geometry

Lattice parameters (Å, degrees): 4.066 4.066 8.264 90.00 90.00 90.00
Space group I4mm (No. 107)
Symmetry-distinct sites (fractional):
Th 0.000 0.000 0.000 (multiplicity 2)
Cu 0.000 0.000 0.344 (multiplicity 2)
Ge 0.000 0.000 0.642 (multiplicity 2)

* formation energy: -0.1141 eV per atom
* calculated volume: 136.6 Å³/cell
* D(E_F): 4.0 states/eV/cell


MgZnAgSn | PBE-GGA | optimized geometry

Lattice parameters (Å, degrees): 6.881 6.881 6.881 90.00 90.00 90.00
Space group F-43m (No. 216)
Symmetry-distinct sites (fractional):
Mg 0.000 0.000 0.000 (multiplicity 4)
Zn 0.250 0.250 0.750 (multiplicity 4)
Ag 0.250 0.250 0.250 (multiplicity 4)
Sn 0.000 0.000 0.500 (multiplicity 4)

* formation energy: -0.0027 eV per atom
* calculated volume: 325.8 Å³/cell
* D(E_F): 7.3 states/eV/cell


Ce6Os2Ru | PBE-GGA | optimized geometry

Lattice parameters (Å, degrees): 10.222 4.755 8.633 90.00 101.08 90.00
Space group C2/m (No. 12)
Symmetry-distinct sites (fractional):
Ce 0.050 0.000 0.326 (multiplicity 4)
Ce 0.116 0.500 0.672 (multiplicity 4)
Ce 0.177 0.500 0.079 (multiplicity 4)
Os 0.226 0.500 0.381 (multiplicity 4)
Ru 0.000 0.000 0.000 (multiplicity 2)

* formation energy: -0.2130 eV per atom
* calculated volume: 411.8 Å³/cell
* D(E_F): 35.2 states/eV/cell


TlIn2HgH | PBE-GGA | optimized geometry

Lattice parameters (Å, degrees): 4.818 4.818 4.967 90.00 90.00 90.00
Space group P4/mmm (No. 123)
Symmetry-distinct sites (fractional):
Tl 0.000 0.000 0.000 (multiplicity 1)
In 0.000 0.500 0.500 (multiplicity 2)
Hg 0.500 0.500 0.000 (multiplicity 1)
H 0.500 0.500 0.500 (multiplicity 1)

* calculated volume: 115.3 Å³/cell
* D(E_F): 1.0 states/eV/cell
* DFT total energy: -2.09 eV per atom